A geometry-optimized LaYMo4 structure. Source: the Alexandria database, functional PBE.

Formation energy from the elements ... 207 meV per atom
Volume ... 20.37 A^3/atom
Uncorrected energy ... -8.912 eV per atom

```
data_LaYMo4
_chemical_formula_sum 'La4 Y4 Mo16'
_space_group_name_H-M_alt 'F -4 3 m'
_space_group_IT_number 216
_space_group_name_Hall 'F -4 2 3'
_cell_length_a 7.8780
_cell_length_b 7.8780
_cell_length_c 7.8780
_cell_angle_alpha 90.00
_cell_angle_beta 90.00
_cell_angle_gamma 90.00
loop_
_atom_site_label
_atom_site_type_symbol
_atom_site_fract_x
_atom_site_fract_y
_atom_site_fract_z
La1 La 0.0000 0.0000 0.0000
Y1 Y 0.2500 0.2500 0.2500
Mo1 Mo 0.1252 0.1252 0.6252
```